# AlPCN4 GGA-PBE relaxed
# E above lowest polymorph, meV/atom: 33.6
# Raw formation energy, eV/atom: -0.18
# Crystal system: triclinic
data_AlPCN4
_chemical_formula_sum 'Al2 P2 C2 N8'
_cell_length_a 4.819
_cell_length_b 5.414
_cell_length_c 6.523
_cell_angle_alpha 90.60
_cell_angle_beta 92.89
_cell_angle_gamma 92.10
_space_group_name_H-M_alt 'P 1'
_space_group_IT_number 1
loop_
_space_group_symop_operation_xyz
'x,y,z'
loop_
_atom_site_label
_atom_site_fract_x
_atom_site_fract_y
_atom_site_fract_z
Al1 0.000 0.000 0.000
Al2 0.091 0.632 0.724
P1 0.680 0.508 0.069
P2 0.916 0.113 0.511
C1 0.367 0.091 0.290
C2 0.583 0.389 0.570
N1 0.020 0.965 0.705
N2 0.086 0.056 0.307
N3 0.416 0.525 0.647
N4 0.417 0.092 0.089
N5 0.556 0.133 0.452
N6 0.675 0.201 0.026
N7 0.868 0.408 0.575
N8 0.959 0.640 0.994

=====

# AlPCN4 GGA-PBE relaxed
# E above lowest polymorph, meV/atom: 312.9
# Raw formation energy, eV/atom: 0.10
# Crystal system: triclinic
data_AlPCN4
_chemical_formula_sum 'Al1 P1 C1 N4'
_cell_length_a 3.861
_cell_length_b 4.796
_cell_length_c 4.994
_cell_angle_alpha 100.04
_cell_angle_beta 108.23
_cell_angle_gamma 105.54
_space_group_name_H-M_alt 'P 1'
_space_group_IT_number 1
loop_
_space_group_symop_operation_xyz
'x,y,z'
loop_
_atom_site_label
_atom_site_fract_x
_atom_site_fract_y
_atom_site_fract_z
Al1 0.000 0.000 0.000
P1 0.317 0.531 0.353
C1 0.440 0.461 0.871
N1 0.061 0.762 0.264
N2 0.154 0.212 0.765
N3 0.575 0.654 0.721
N4 0.655 0.591 0.183

=====

# AlPCN4 GGA-PBE relaxed
# E above lowest polymorph, meV/atom: 295.5
# Raw formation energy, eV/atom: 0.08
# Crystal system: triclinic
data_AlPCN4
_chemical_formula_sum 'Al1 P1 C1 N4'
_cell_length_a 3.531
_cell_length_b 3.917
_cell_length_c 5.550
_cell_angle_alpha 100.73
_cell_angle_beta 102.89
_cell_angle_gamma 101.85
_space_group_name_H-M_alt 'P 1'
_space_group_IT_number 1
loop_
_space_group_symop_operation_xyz
'x,y,z'
loop_
_atom_site_label
_atom_site_fract_x
_atom_site_fract_y
_atom_site_fract_z
Al1 0.000 0.000 0.000
P1 0.490 0.776 0.383
C1 0.792 0.468 0.291
N1 0.012 0.530 0.106
N2 0.109 0.644 0.537
N3 0.570 0.091 0.209
N4 0.907 0.894 0.652

=====

# AlPCN4 GGA-PBE relaxed
# E above lowest polymorph, meV/atom: 287.6
# Raw formation energy, eV/atom: 0.08
# Crystal system: triclinic
data_AlPCN4
_chemical_formula_sum 'Al1 P1 C1 N4'
_cell_length_a 3.059
_cell_length_b 3.653
_cell_length_c 6.039
_cell_angle_alpha 100.62
_cell_angle_beta 93.99
_cell_angle_gamma 114.30
_space_group_name_H-M_alt 'P 1'
_space_group_IT_number 1
loop_
_space_group_symop_operation_xyz
'x,y,z'
loop_
_atom_site_label
_atom_site_fract_x
_atom_site_fract_y
_atom_site_fract_z
Al1 0.000 0.000 0.000
P1 0.270 0.580 0.571
C1 0.548 0.798 0.331
N1 0.365 0.627 0.110
N2 0.516 0.076 0.778
N3 0.714 0.463 0.718
N4 0.978 0.121 0.375

=====

# AlPCN4 GGA-PBE relaxed
# E above lowest polymorph, meV/atom: 215.4
# Raw formation energy, eV/atom: 0.00
# Crystal system: monoclinic
data_AlPCN4
_chemical_formula_sum 'Al2 P2 C2 N8'
_cell_length_a 6.786
_cell_length_b 2.856
_cell_length_c 5.922
_cell_angle_alpha 90.00
_cell_angle_beta 94.02
_cell_angle_gamma 90.00
_space_group_name_H-M_alt 'C 1 m 1'
_space_group_IT_number 8
loop_
_space_group_symop_operation_xyz
'x,y,z'
'x,-y,z'
'x+1/2,y+1/2,z'
'x+1/2,-y+1/2,z'
loop_
_atom_site_label
_atom_site_fract_x
_atom_site_fract_y
_atom_site_fract_z
Al1 0.000 0.000 0.000
P1 0.069 0.500 0.569
C1 0.247 0.500 0.344
N1 0.196 0.000 0.721
N2 0.199 0.500 0.124
N3 0.398 0.000 0.789
N4 0.443 0.500 0.415

=====

# AlPCN4 GGA-PBE relaxed
# E above lowest polymorph, meV/atom: 242.1
# Raw formation energy, eV/atom: 0.03
# Crystal system: triclinic
data_AlPCN4
_chemical_formula_sum 'Al1 P1 C1 N4'
_cell_length_a 3.511
_cell_length_b 4.684
_cell_length_c 4.949
_cell_angle_alpha 86.85
_cell_angle_beta 70.20
_cell_angle_gamma 84.18
_space_group_name_H-M_alt 'P 1'
_space_group_IT_number 1
loop_
_space_group_symop_operation_xyz
'x,y,z'
loop_
_atom_site_label
_atom_site_fract_x
_atom_site_fract_y
_atom_site_fract_z
Al1 0.000 0.000 0.000
P1 0.031 0.521 0.548
C1 0.362 0.460 0.010
N1 0.051 0.627 0.203
N2 0.249 0.792 0.657
N3 0.465 0.181 0.055
N4 0.536 0.606 0.751

=====

# AlPCN4 GGA-PBE relaxed
# E above lowest polymorph, meV/atom: 54.7
# Raw formation energy, eV/atom: -0.16
# Crystal system: triclinic
data_AlPCN4
_chemical_formula_sum 'Al2 P2 C2 N8'
_cell_length_a 4.639
_cell_length_b 4.934
_cell_length_c 7.001
_cell_angle_alpha 101.38
_cell_angle_beta 91.34
_cell_angle_gamma 108.48
_space_group_name_H-M_alt 'P 1'
_space_group_IT_number 1
loop_
_space_group_symop_operation_xyz
'x,y,z'
loop_
_atom_site_label
_atom_site_fract_x
_atom_site_fract_y
_atom_site_fract_z
Al1 0.000 0.000 0.000
Al2 0.380 0.216 0.599
P1 0.469 0.652 0.360
P2 0.987 0.654 0.604
C1 0.386 0.027 0.170
C2 0.606 0.395 0.037
N1 0.132 0.975 0.745
N2 0.251 0.507 0.521
N3 0.364 0.458 0.131
N4 0.436 0.975 0.355
N5 0.648 0.148 0.072
N6 0.743 0.574 0.922
N7 0.778 0.424 0.731
N8 0.802 0.653 0.408

=====

# AlPCN4 GGA-PBE relaxed
# E above lowest polymorph, meV/atom: 123.2
# Raw formation energy, eV/atom: -0.09
# Crystal system: triclinic
data_AlPCN4
_chemical_formula_sum 'Al1 P1 C1 N4'
_cell_length_a 3.677
_cell_length_b 3.787
_cell_length_c 5.548
_cell_angle_alpha 97.91
_cell_angle_beta 108.97
_cell_angle_gamma 95.40
_space_group_name_H-M_alt 'P 1'
_space_group_IT_number 1
loop_
_space_group_symop_operation_xyz
'x,y,z'
loop_
_atom_site_label
_atom_site_fract_x
_atom_site_fract_y
_atom_site_fract_z
Al1 0.000 0.000 0.000
P1 0.727 0.875 0.482
C1 0.744 0.473 0.261
N1 0.164 0.980 0.701
N2 0.518 0.869 0.699
N3 0.578 0.121 0.253
N4 0.942 0.521 0.111

=====

# AlPCN4 GGA-PBE relaxed
# E above lowest polymorph, meV/atom: 276.3
# Raw formation energy, eV/atom: 0.07
# Crystal system: triclinic
data_AlPCN4
_chemical_formula_sum 'Al1 P1 C1 N4'
_cell_length_a 3.466
_cell_length_b 3.755
_cell_length_c 5.004
_cell_angle_alpha 83.42
_cell_angle_beta 87.75
_cell_angle_gamma 83.42
_space_group_name_H-M_alt 'P 1'
_space_group_IT_number 1
loop_
_space_group_symop_operation_xyz
'x,y,z'
loop_
_atom_site_label
_atom_site_fract_x
_atom_site_fract_y
_atom_site_fract_z
Al1 0.000 0.000 0.000
P1 0.284 0.300 0.408
C1 0.684 0.624 0.336
N1 0.030 0.988 0.627
N2 0.502 0.957 0.202
N3 0.947 0.645 0.567
N4 0.981 0.466 0.147

=====

# AlPCN4 GGA-PBE relaxed
# E above lowest polymorph, meV/atom: 656.3
# Raw formation energy, eV/atom: 0.45
# Crystal system: triclinic
data_AlPCN4
_chemical_formula_sum 'Al1 P1 C1 N4'
_cell_length_a 3.743
_cell_length_b 4.035
_cell_length_c 4.386
_cell_angle_alpha 91.30
_cell_angle_beta 100.90
_cell_angle_gamma 96.30
_space_group_name_H-M_alt 'P 1'
_space_group_IT_number 1
loop_
_space_group_symop_operation_xyz
'x,y,z'
loop_
_atom_site_label
_atom_site_fract_x
_atom_site_fract_y
_atom_site_fract_z
Al1 0.000 0.000 0.000
P1 0.699 0.491 0.495
C1 0.415 0.103 0.364
N1 0.104 0.745 0.660
N2 0.410 0.816 0.535
N3 0.691 0.346 0.894
N4 0.753 0.597 0.116

=====

# AlPCN4 GGA-PBE relaxed
# E above lowest polymorph, meV/atom: 0.0
# Raw formation energy, eV/atom: -0.21
# Crystal system: triclinic
data_AlPCN4
_chemical_formula_sum 'Al2 P2 C2 N8'
_cell_length_a 5.301
_cell_length_b 5.382
_cell_length_c 5.861
_cell_angle_alpha 108.86
_cell_angle_beta 101.97
_cell_angle_gamma 92.27
_space_group_name_H-M_alt 'P 1'
_space_group_IT_number 1
loop_
_space_group_symop_operation_xyz
'x,y,z'
loop_
_atom_site_label
_atom_site_fract_x
_atom_site_fract_y
_atom_site_fract_z
Al1 0.000 0.000 0.000
Al2 0.252 0.178 0.740
P1 0.535 0.784 0.990
P2 0.711 0.182 0.503
C1 0.414 0.468 0.240
C2 0.708 0.542 0.598
N1 0.264 0.274 0.271
N2 0.297 0.895 0.856
N3 0.379 0.169 0.462
N4 0.392 0.503 0.018
N5 0.576 0.640 0.442
N6 0.751 0.019 0.223
N7 0.771 0.681 0.848
N8 0.898 0.140 0.733

=====

# AlPCN4 GGA-PBE relaxed
# E above lowest polymorph, meV/atom: 218.4
# Raw formation energy, eV/atom: 0.01
# Crystal system: triclinic
data_AlPCN4
_chemical_formula_sum 'Al1 P1 C1 N4'
_cell_length_a 2.896
_cell_length_b 5.273
_cell_length_c 7.957
_cell_angle_alpha 106.04
_cell_angle_beta 90.17
_cell_angle_gamma 105.91
_space_group_name_H-M_alt 'P 1'
_space_group_IT_number 1
loop_
_space_group_symop_operation_xyz
'x,y,z'
loop_
_atom_site_label
_atom_site_fract_x
_atom_site_fract_y
_atom_site_fract_z
Al1 0.000 0.000 0.000
P1 0.056 0.119 0.562
C1 0.296 0.591 0.112
N1 0.185 0.368 0.136
N2 0.413 0.824 0.087
N3 0.506 0.015 0.836
N4 0.534 0.072 0.689